The following is a DFT calculation (PBE with a Hubbard U) of an optimized crystal structure of CoSeClO6.

a = 6.2025 Å, b = 7.2115 Å, c = 8.0711 Å
α = 108.25°, β = 109.56°, γ = 100.85°
Closest atoms and distances in Å follow each position.
Space group P-1 (No. 2)
Unique sites:
Co 0.0000 0.0000 0.0000 (multiplicity 1)  4 O 1.75-1.92
Co 0.0000 0.5000 0.5000 (multiplicity 1)  6 O 1.77-1.95
Se 0.2612 0.1420 0.4422 (multiplicity 2)  3 O 1.66-1.78
Cl 0.2722 0.3203 0.1491 (multiplicity 2)  1 Co 2.25, 1 O 2.46
O 0.0041 0.2174 0.4429 (multiplicity 2)  1 Se 1.78, 1 Co 1.95
O 0.1341 0.9373 0.2188 (multiplicity 2)  1 Se 1.73, 1 Co 1.92
O 0.1869 0.5643 0.7433 (multiplicity 2)  1 Co 1.77
O 0.2113 0.9140 0.9247 (multiplicity 2)  1 Co 1.75
O 0.2224 0.5649 0.4145 (multiplicity 2)  1 Co 1.79
O 0.3138 0.0272 0.5942 (multiplicity 2)  1 Se 1.66

Computed properties:
Crystal system ... triclinic
M_tot ... 10.03 μB/cell
VASP energy ... -0.1592 hartree per atom